PBE-GGA DyMgAlO4, relaxed; DOS at the Fermi energy = 0.00 states/eV per atom; calculated volume = 84 Å³/f.u.; density = 5.52 g/cm3; E = -7.2180 eV/atom
1.0
-3.232 0.653 -5.150
-4.182 -4.258 -1.546
-5.962 1.540 0.306
Dy Mg Al O
2 2 2 8
Cartesian
0.000 0.000 0.000
-5.072 -1.359 -0.620
-4.597 1.096 -2.422
-2.981 0.770 0.153
-5.399 -2.071 -4.135
-7.976 0.005 -2.255
-10.113 -1.560 -4.743
-8.349 -1.814 -2.252
-5.026 -0.252 -4.139
-3.262 -0.506 -1.648
-5.497 -2.655 -2.401
-7.052 -2.341 -4.879
-6.323 0.275 -1.512
-7.878 0.589 -3.990